Entry from the Alexandria database: an optimized crystal structure of Nb2SiBPd (GGA-PBEsol).

Cell: 4.7303 4.7303 3.5856 Å, 90.00 90.00 90.00°
Space group P4/mmm (No. 123)
Asymmetric unit:
Nb 0.0000 0.5000 0.0000 x2
Si 0.0000 0.0000 0.0000 x1
B 0.0000 0.0000 0.5000 x1
Pd 0.5000 0.5000 0.5000 x1

As for the density of states at the Fermi level: 4.50 states/eV per cell. The volume comes out at 80 Å³/cell. The final energy comes out at -36.22 eV for the cell shown.